[1]
The following is a GGA-PBE calculation of a relaxed SrIn2Pt crystal, from Alexandria via LeMat-Bulk.

Computed properties:
- Magnetization: 0.000 Bohr magnetons per cell
- E_tot: -15.2 eV for the cell shown
- Space-group type: No. 65

Cell and atoms, written as POSCAR:
```
SrIn2Pt
1.0
2.917 -4.406 0.000
2.917 4.406 0.000
0.000 0.000 4.474
Sr In Pt
1 2 1
Direct
0.000 0.000 0.000
0.322 0.678 0.500
0.678 0.322 0.500
0.500 0.500 0.000
```

[2]
The following is a GGA-PBE calculation of a relaxed TiZn2CuBi crystal, from Alexandria via LeMat-Bulk.

Computed properties:
- Magnetization: 1.790 Bohr magnetons per cell
- E_tot: -15.9 eV for the cell shown
- Space-group type: No. 123

Cell and atoms, written as POSCAR:
```
TiZn2CuBi
1.0
4.518 0.000 0.000
0.000 4.518 0.000
0.000 0.000 5.368
Ti Zn Cu Bi
1 2 1 1
Direct
0.000 0.000 0.000
0.000 0.500 0.500
0.500 0.000 0.500
0.500 0.500 0.500
0.500 0.500 0.000
```